Record 1
## Mg3ZnRu (PBE)

Data for a relaxed Mg3ZnRu crystal.

Computed properties:
- space group = Pm-3m
- formation energy from the elements (eV per atom) = 0.79
- calculated density (g/cm³) = 3.7
- Fermi-level density of states (states/eV/cell) = 2.7
- energy above the lowest structure with this stoichiometry (kJ/mol of formula units) = 160
- magnetization (Bohr magnetons per cell) = 1.730

The structure in POSCAR format:
```
Mg3ZnRu
1.0
-2.1743 3.1066 2.8960
-2.8298 -3.4858 1.6146
3.1670 -0.9818 3.4310
Mg Zn Ru
3 1 1
Direct
0.0000 0.0000 0.5000
0.5000 0.0000 0.0000
0.0000 0.5000 0.0000
0.0000 0.0000 0.0000
0.5000 0.5000 0.5000
```

***

Record 2
## TbSm2Er4Mg (PBE)

Data for a relaxed TbSm2Er4Mg crystal.

Computed properties:
- space group = Pmmm
- formation energy from the elements (eV per atom) = 0.03
- calculated density (g/cm³) = 7.8
- Fermi-level density of states (states/eV/cell) = 11.9
- magnetization (Bohr magnetons per cell) = 0.012

The structure in POSCAR format:
```
TbSm2Er4Mg
1.0
-1.5593 1.3216 4.4949
-1.0498 -4.7261 1.0254
8.2516 -6.0164 4.6315
Er Sm Mg Tb
4 2 1 1
Direct
0.0000 0.2516 0.2485
0.5000 0.2487 0.7513
0.0000 0.7484 0.7515
0.5000 0.7513 0.2487
0.5000 0.0000 0.5000
0.0000 0.0000 0.0000
0.5000 0.5000 0.0000
0.0000 0.5000 0.5000
```

***

Record 3
## CaUIr2 (PBE)

Data for a relaxed CaUIr2 crystal.

Computed properties:
- space group = Fm-3m
- formation energy from the elements (eV per atom) = -0.34
- calculated density (g/cm³) = 13.9
- Fermi-level density of states (states/eV/cell) = 7.4
- energy above the lowest structure with this stoichiometry (kJ/mol of formula units) = 54
- magnetization (Bohr magnetons per cell) = 1.527

The structure in POSCAR format:
```
CaUIr2
1.0
-4.1255 2.4494 0.4764
-2.1703 0.2540 4.2979
-0.0637 4.1662 2.4260
U Ir Ca
1 2 1
Direct
0.0000 0.0000 0.0000
0.2500 0.2500 0.2500
0.7500 0.7500 0.7500
0.5000 0.5000 0.5000
```

***

Record 4
## Gd5C6Cl3 (PBE)

Data for a relaxed Gd5C6Cl3 crystal.

Computed properties:
- space group = C2/m
- calculated density (g/cm³) = 6.0
- Fermi-level density of states (states/eV/cell) = 11.6
- formation energy from raw total energies (eV/atom) = -0.91
- magnetization (Bohr magnetons per cell) = 13.598

The structure in POSCAR format:
```
Gd5C6Cl3
1.0
11.0849 -0.0021 -0.0347
-10.4496 3.6988 0.0347
-8.3694 1.4383 12.9585
Gd Cl C
10 6 12
Direct
0.8337 0.1663 0.3931
0.1663 0.8337 0.6069
0.5058 0.4942 0.8972
0.5047 0.4953 0.6114
0.1733 0.8267 0.3817
0.4953 0.5047 0.3886
0.8372 0.1628 0.8587
0.4942 0.5058 0.1028
0.8267 0.1733 0.6183
0.1628 0.8372 0.1413
0.6669 0.3331 0.0125
0.0254 0.9746 0.7693
0.3284 0.6716 0.2508
0.9746 0.0254 0.2306
0.3331 0.6669 0.9875
0.6716 0.3284 0.7492
0.6250 0.3750 0.2280
0.3755 0.6245 0.5377
0.3026 0.6974 0.7201
0.0373 0.9627 0.0295
0.9629 0.0371 0.4714
0.6973 0.3027 0.5172
0.6974 0.3026 0.2799
0.6245 0.3755 0.4623
0.3027 0.6973 0.4828
0.3750 0.6250 0.7720
0.9627 0.0373 0.9705
0.0371 0.9629 0.5286
```